Record 1
Density functional theory data (PBE) for an optimized crystal structure of CsCdAu3.

Its density of states at the Fermi level is 0.334 states/eV per atom. The space-group type is P2_1/c. The energy above the lowest structure with this stoichiometry comes out at 0.000 eV/atom. The calculation puts the formation energy at -1.008 eV per formula unit. The value obtained for the size of the total moment is 0.00 Bohr magnetons per cell.

Geometry as CIF:
```
data_CsCdAu3
_chemical_formula_sum 'Cs4 Cd4 Au12'
_cell_length_a 6.851
_cell_length_b 9.737
_cell_length_c 9.260
_cell_angle_alpha 109.56
_cell_angle_beta 90.00
_cell_angle_gamma 90.00
_symmetry_space_group_name_H-M 'P 1'
_symmetry_Int_Tables_number 1
loop_
_symmetry_equiv_pos_as_xyz
'x,y,z'
loop_
_atom_site_label
_atom_site_type_symbol
_atom_site_fract_x
_atom_site_fract_y
_atom_site_fract_z
Au1 Au 0.497 0.640 0.086
Au2 Au 0.504 0.125 0.641
Au3 Au 0.291 0.105 0.913
Au4 Au 0.709 0.895 0.087
Au5 Au 0.496 0.875 0.359
Au6 Au 0.791 0.895 0.587
Au7 Au 0.209 0.105 0.413
Au8 Au 0.003 0.640 0.586
Au9 Au 0.996 0.125 0.141
Au10 Au 0.997 0.360 0.414
Au11 Au 0.004 0.875 0.859
Au12 Au 0.503 0.360 0.914
Cd1 Cd 0.702 0.090 0.907
Cd2 Cd 0.298 0.910 0.093
Cd3 Cd 0.798 0.090 0.407
Cd4 Cd 0.202 0.910 0.593
Cs1 Cs 0.988 0.633 0.209
Cs2 Cs 0.012 0.367 0.791
Cs3 Cs 0.488 0.367 0.291
Cs4 Cs 0.512 0.633 0.709
```

Record 2
Density functional theory data (PBE) for an optimized crystal structure of Cs7CdAu3.

Its density of states at the Fermi level is 0.763 states/eV per atom. The space-group type is P3m1. The energy above the lowest structure with this stoichiometry comes out at 0.004 eV/atom. The calculation puts the formation energy at -1.644 eV per formula unit. The value obtained for the size of the total moment is 0.49 Bohr magnetons per cell.

Geometry as CIF:
```
data_Cs7CdAu3
_chemical_formula_sum 'Cs7 Cd1 Au3'
_cell_length_a 8.263
_cell_length_b 10.345
_cell_length_c 10.345
_cell_angle_alpha 120.00
_cell_angle_beta 90.00
_cell_angle_gamma 90.00
_symmetry_space_group_name_H-M 'P 1'
_symmetry_Int_Tables_number 1
loop_
_symmetry_equiv_pos_as_xyz
'x,y,z'
loop_
_atom_site_label
_atom_site_type_symbol
_atom_site_fract_x
_atom_site_fract_y
_atom_site_fract_z
Au1 Au 0.762 0.488 0.512
Au2 Au 0.762 0.488 0.977
Au3 Au 0.762 0.023 0.512
Cs1 Cs 0.991 0.667 0.333
Cs2 Cs 0.024 0.176 0.824
Cs3 Cs 0.538 0.338 0.169
Cs4 Cs 0.024 0.647 0.824
Cs5 Cs 0.538 0.831 0.662
Cs6 Cs 0.538 0.831 0.169
Cs7 Cs 0.024 0.176 0.353
Cd1 Cd 0.652 0.333 0.667
```

Record 3
Density functional theory data (PBE) for an optimized crystal structure of Cs2Cd2Au.

Its density of states at the Fermi level is 0.491 states/eV per atom. The space-group type is Immm. The energy above the lowest structure with this stoichiometry comes out at 0.000 eV/atom. The calculation puts the formation energy at -0.773 eV per formula unit. The value obtained for the size of the total moment is 0.00 Bohr magnetons per cell.

Geometry as CIF:
```
data_Cs2Cd2Au
_chemical_formula_sum 'Cs2 Cd2 Au1'
_cell_length_a 6.428
_cell_length_b 5.125
_cell_length_c 7.351
_cell_angle_alpha 69.60
_cell_angle_beta 64.07
_cell_angle_gamma 90.00
_symmetry_space_group_name_H-M 'P 1'
_symmetry_Int_Tables_number 1
loop_
_symmetry_equiv_pos_as_xyz
'x,y,z'
loop_
_atom_site_label
_atom_site_type_symbol
_atom_site_fract_x
_atom_site_fract_y
_atom_site_fract_z
Cs1 Cs 0.687 0.187 0.626
Cs2 Cs 0.313 0.813 0.374
Cd1 Cd 0.233 0.500 0.000
Cd2 Cd 0.767 0.500 0.000
Au1 Au 0.000 0.000 0.000
```

Record 4
Density functional theory data (PBE) for an optimized crystal structure of CsCd5Au3.

Its density of states at the Fermi level is 0.399 states/eV per atom. The space-group type is Cmcm. The calculation puts the formation energy at -1.710 eV per formula unit. The value obtained for the size of the total moment is 0.00 Bohr magnetons per cell.

Geometry as CIF:
```
data_CsCd5Au3
_chemical_formula_sum 'Cs2 Cd10 Au6'
_cell_length_a 4.592
_cell_length_b 7.750
_cell_length_c 14.186
_cell_angle_alpha 90.00
_cell_angle_beta 90.00
_cell_angle_gamma 107.23
_symmetry_space_group_name_H-M 'P 1'
_symmetry_Int_Tables_number 1
loop_
_symmetry_equiv_pos_as_xyz
'x,y,z'
loop_
_atom_site_label
_atom_site_type_symbol
_atom_site_fract_x
_atom_site_fract_y
_atom_site_fract_z
Au1 Au 0.880 0.761 0.250
Au2 Au 0.120 0.239 0.750
Au3 Au 0.384 0.769 0.959
Au4 Au 0.616 0.231 0.041
Au5 Au 0.384 0.769 0.541
Au6 Au 0.616 0.231 0.459
Cd1 Cd 0.197 0.394 0.558
Cd2 Cd 0.197 0.394 0.942
Cd3 Cd 0.451 0.901 0.149
Cd4 Cd 0.803 0.606 0.442
Cd5 Cd 0.803 0.606 0.058
Cd6 Cd 0.549 0.099 0.851
Cd7 Cd 0.451 0.901 0.351
Cd8 Cd 0.000 0.000 0.500
Cd9 Cd 0.549 0.099 0.649
Cd10 Cd 0.000 0.000 0.000
Cs1 Cs 0.167 0.335 0.250
Cs2 Cs 0.833 0.665 0.750
```

Record 5
Density functional theory data (PBE) for an optimized crystal structure of CsCdAu.

Its density of states at the Fermi level is 0.222 states/eV per atom. The space-group type is I4mm. The energy above the lowest structure with this stoichiometry comes out at 0.079 eV/atom. The calculation puts the formation energy at -0.477 eV per formula unit. The value obtained for the size of the total moment is 0.00 Bohr magnetons per cell.

Geometry as CIF:
```
data_CsCdAu
_chemical_formula_sum 'Cs1 Cd1 Au1'
_cell_length_a 3.984
_cell_length_b 3.984
_cell_length_c 7.040
_cell_angle_alpha 106.44
_cell_angle_beta 106.44
_cell_angle_gamma 90.00
_symmetry_space_group_name_H-M 'P 1'
_symmetry_Int_Tables_number 1
loop_
_symmetry_equiv_pos_as_xyz
'x,y,z'
loop_
_atom_site_label
_atom_site_type_symbol
_atom_site_fract_x
_atom_site_fract_y
_atom_site_fract_z
Cs1 Cs 0.004 0.004 0.009
Au1 Au 0.713 0.713 0.426
Cd1 Cd 0.283 0.283 0.565
```

Record 6
Density functional theory data (PBE) for an optimized crystal structure of Cs2Cd2Au.

Its density of states at the Fermi level is 0.636 states/eV per atom. The space-group type is P4/mbm. The energy above the lowest structure with this stoichiometry comes out at 0.106 eV/atom. The calculation puts the formation energy at -0.244 eV per formula unit. The value obtained for the size of the total moment is 0.00 Bohr magnetons per cell.

Geometry as CIF:
```
data_Cs2Cd2Au
_chemical_formula_sum 'Cs4 Cd4 Au2'
_cell_length_a 7.939
_cell_length_b 7.939
_cell_length_c 6.078
_cell_angle_alpha 90.00
_cell_angle_beta 90.00
_cell_angle_gamma 90.00
_symmetry_space_group_name_H-M 'P 1'
_symmetry_Int_Tables_number 1
loop_
_symmetry_equiv_pos_as_xyz
'x,y,z'
loop_
_atom_site_label
_atom_site_type_symbol
_atom_site_fract_x
_atom_site_fract_y
_atom_site_fract_z
Cs1 Cs 0.819 0.319 0.500
Cs2 Cs 0.681 0.819 0.500
Cs3 Cs 0.319 0.181 0.500
Cs4 Cs 0.181 0.681 0.500
Au1 Au 0.000 0.000 0.000
Au2 Au 0.500 0.500 0.000
Cd1 Cd 0.361 0.861 0.000
Cd2 Cd 0.639 0.139 0.000
Cd3 Cd 0.139 0.361 0.000
Cd4 Cd 0.861 0.639 0.000
```

Record 7
Density functional theory data (PBE) for an optimized crystal structure of CsCdAu.

Its density of states at the Fermi level is 0.395 states/eV per atom. The space-group type is P-6m2. The energy above the lowest structure with this stoichiometry comes out at 0.000 eV/atom. The calculation puts the formation energy at -0.713 eV per formula unit. The value obtained for the size of the total moment is 0.00 Bohr magnetons per cell.

Geometry as CIF:
```
data_CsCdAu
_chemical_formula_sum 'Cs1 Cd1 Au1'
_cell_length_a 5.290
_cell_length_b 4.964
_cell_length_c 4.964
_cell_angle_alpha 120.00
_cell_angle_beta 90.00
_cell_angle_gamma 90.00
_symmetry_space_group_name_H-M 'P 1'
_symmetry_Int_Tables_number 1
loop_
_symmetry_equiv_pos_as_xyz
'x,y,z'
loop_
_atom_site_label
_atom_site_type_symbol
_atom_site_fract_x
_atom_site_fract_y
_atom_site_fract_z
Cd1 Cd 0.167 0.333 0.667
Cs1 Cs 0.667 0.667 0.333
Au1 Au 0.167 0.000 0.000
```

Record 8
Density functional theory data (PBE) for an optimized crystal structure of Cs5Cd2Au.

Its density of states at the Fermi level is 0.531 states/eV per atom. The space-group type is Cmcm. The calculation puts the formation energy at -0.684 eV per formula unit. The value obtained for the size of the total moment is 0.00 Bohr magnetons per cell.

Geometry as CIF:
```
data_Cs5Cd2Au
_chemical_formula_sum 'Cs10 Cd4 Au2'
_cell_length_a 7.100
_cell_length_b 6.623
_cell_length_c 23.782
_cell_angle_alpha 90.00
_cell_angle_beta 90.00
_cell_angle_gamma 122.41
_symmetry_space_group_name_H-M 'P 1'
_symmetry_Int_Tables_number 1
loop_
_symmetry_equiv_pos_as_xyz
'x,y,z'
loop_
_atom_site_label
_atom_site_type_symbol
_atom_site_fract_x
_atom_site_fract_y
_atom_site_fract_z
Cs1 Cs 0.326 0.652 0.456
Cs2 Cs 0.992 0.984 0.153
Cs3 Cs 0.674 0.348 0.956
Cs4 Cs 0.992 0.984 0.347
Cs5 Cs 0.359 0.718 0.250
Cs6 Cs 0.008 0.016 0.653
Cs7 Cs 0.008 0.016 0.847
Cs8 Cs 0.641 0.282 0.750
Cs9 Cs 0.674 0.348 0.544
Cs10 Cs 0.326 0.652 0.044
Au1 Au 0.707 0.414 0.250
Au2 Au 0.293 0.586 0.750
Cd1 Cd 0.651 0.302 0.367
Cd2 Cd 0.349 0.698 0.633
Cd3 Cd 0.651 0.302 0.133
Cd4 Cd 0.349 0.698 0.867
```